No. 1
DFT (GGA-PBEsol) results for a relaxed structure of LiMgZr2.

Geometry as POSCAR:
```
LiMgZr2
1.0
2.996 0.000 0.000
0.000 4.538 0.000
-1.040 0.000 6.195
Li Mg Zr
1 1 2
direct
0.000 0.000 0.000
0.416 0.500 0.230
0.563 0.500 0.729
0.996 0.000 0.515
```

Properties
Spin magnetization = 0.000 Bohr magnetons per cell
ρ = 4.21 g cm⁻³
ΔE_f = 3.73 kcal/mol of atoms



No. 2
DFT (GGA-PBEsol) results for a relaxed structure of BaSr2MgTa.

Geometry as POSCAR:
```
BaSr2MgTa
1.0
5.925 0.000 0.000
0.000 5.925 0.000
0.000 0.000 5.671
Ba Sr Mg Ta
1 2 1 1
direct
0.000 0.000 0.000
0.000 0.500 0.500
0.500 0.000 0.500
0.500 0.500 0.000
0.500 0.500 0.500
```

Properties
Spin magnetization = 0.651 Bohr magnetons per cell
ρ = 4.32 g cm⁻³
ΔE_f = 19.61 kcal/mol of atoms



No. 3
DFT (GGA-PBEsol) results for a relaxed structure of TlBiAuBr2.

Geometry as POSCAR:
```
TlBiAuBr2
1.0
5.465 0.000 0.000
0.000 5.465 0.000
0.000 0.000 6.345
Tl Bi Au Br
1 1 1 2
direct
0.000 0.000 0.000
0.000 0.000 0.500
0.500 0.500 0.000
0.000 0.500 0.500
0.500 0.000 0.500
```

Properties
Spin magnetization = 0.000 Bohr magnetons per cell
ρ = 6.75 g cm⁻³
E_tot = -2.642 eV/atom